# 1
A plane-wave DFT calculation with PBE was carried out for a relaxed structure of Pm7Nd3Sm2.

Cell lengths 5.9766, 3.6420, 19.2456 Å; angles 90.00, 93.12, 90.00 degrees
Fractional positions:
Pm (0.0000, 0.0000, 0.0000)
Pm (0.1864, 0.5000, 0.1777)
Pm (0.2571, 0.5000, 0.5363)
Pm (0.3156, 0.0000, 0.8557)
Pm (0.6844, 0.0000, 0.1443)
Pm (0.7429, 0.5000, 0.4637)
Pm (0.8136, 0.5000, 0.8223)
Nd (0.2183, 0.0000, 0.3670)
Nd (0.5000, 0.5000, 0.0000)
Nd (0.7817, 0.0000, 0.6330)
Sm (0.2915, 0.5000, 0.7051)
Sm (0.7085, 0.5000, 0.2949)

space-group type: P2/m (10)
total magnetization: 0.00 Bohr magnetons per cell
ΔH_f (0 K): 82 meV/atom


# 2
A plane-wave DFT calculation with PBE was carried out for a relaxed structure of RbTcI2.

Cell lengths 7.2457, 7.2457, 7.2457 Å; angles 107.08, 107.08, 114.38 degrees
Fractional positions:
Rb (0.0000, 0.0000, 0.0000)
Rb (0.7500, 0.2500, 0.5000)
Tc (0.2500, 0.7500, 0.5000)
Tc (0.5000, 0.5000, 0.0000)
I (0.2419, 0.6250, 0.1169)
I (0.3750, 0.4919, 0.6169)
I (0.5081, 0.1250, 0.8831)
I (0.8750, 0.7581, 0.3831)

space-group type: I-42d (122)
formation energy from raw total energies: 14 meV/atom
total magnetization: 0.00 Bohr magnetons per cell


# 3
A plane-wave DFT calculation with PBE was carried out for a relaxed structure of Ca3Pm3CdSe8.

Cell lengths 8.4053, 8.4053, 8.4053 Å; angles 59.58, 59.58, 59.58 degrees
Fractional positions:
Ca (0.0000, 0.5000, 0.5000)
Ca (0.5000, 0.0000, 0.5000)
Ca (0.5000, 0.5000, 0.0000)
Pm (0.0000, 0.0000, 0.5000)
Pm (0.0000, 0.5000, 0.0000)
Pm (0.5000, 0.0000, 0.0000)
Cd (0.5000, 0.5000, 0.5000)
Se (0.2505, 0.2505, 0.2505)
Se (0.2524, 0.7459, 0.7459)
Se (0.2541, 0.2541, 0.7476)
Se (0.2541, 0.7476, 0.2541)
Se (0.7459, 0.2524, 0.7459)
Se (0.7459, 0.7459, 0.2524)
Se (0.7476, 0.2541, 0.2541)
Se (0.7495, 0.7495, 0.7495)

space-group type: R-3m (166)
formation energy from raw total energies: -1719 meV/atom
total magnetization: 0.00 Bohr magnetons per cell


# 4
A plane-wave DFT calculation with PBE was carried out for a relaxed structure of Y4CoOs.

Cell lengths 6.2018, 6.4982, 7.6637 Å; angles 90.00, 107.74, 90.00 degrees
Fractional positions:
Y (0.9999, 0.0003, 0.2387)
Y (0.0001, 0.9997, 0.7613)
Y (0.9999, 0.4997, 0.2387)
Y (0.0001, 0.5003, 0.7613)
Y (0.4319, 0.2500, 0.6041)
Y (0.4538, 0.2500, 0.1160)
Y (0.5462, 0.7500, 0.8840)
Y (0.5681, 0.7500, 0.3959)
Co (0.2436, 0.7500, 0.0646)
Co (0.7564, 0.2500, 0.9354)
Os (0.2130, 0.7500, 0.5504)
Os (0.7870, 0.2500, 0.4496)

space-group type: P2_1/m (11)
total magnetization: 0.00 Bohr magnetons per cell
ΔH_f (0 K): -123 meV/atom


# 5
A plane-wave DFT calculation with PBE was carried out for a relaxed structure of TlAgPb.

Cell lengths 6.6053, 6.6053, 6.6053 Å; angles 148.40, 148.31, 45.36 degrees
Fractional positions:
Tl (0.0000, 0.0000, 0.0000)
Ag (0.6517, 0.6517, 0.0000)
Pb (0.3003, 0.3003, 0.0000)

space-group type: Imm2 (44)
total magnetization: 0.00 Bohr magnetons per cell
ΔH_f (0 K): 91 meV/atom


# 6
A plane-wave DFT calculation with PBE was carried out for a relaxed structure of Ti8MnP2.

Cell lengths 7.7436, 7.7436, 6.5541 Å; angles 110.45, 110.45, 27.32 degrees
Fractional positions:
Ti (0.0329, 0.0329, 0.3036)
Ti (0.1869, 0.1869, 0.7977)
Ti (0.3273, 0.3273, 0.5562)
Ti (0.4134, 0.4134, 0.0343)
Ti (0.5866, 0.5866, 0.9657)
Ti (0.6727, 0.6727, 0.4438)
Ti (0.8131, 0.8131, 0.2023)
Ti (0.9671, 0.9671, 0.6964)
Mn (0.5000, 0.5000, 0.5000)
P (0.1904, 0.1904, 0.1905)
P (0.8096, 0.8096, 0.8095)

space-group type: C2/m (12)
total magnetization: 0.00 Bohr magnetons per cell
ΔH_f (0 K): -552 meV/atom


Number 1: density of states at the Fermi level 16.4 states/eV/f.u.. Number 2: density of states at the Fermi level 1.3 states/eV/f.u.. Number 3: density of states at the Fermi level 4.0 states/eV/f.u.. Number 4: density of states at the Fermi level 4.3 states/eV/f.u.. Number 5: density of states at the Fermi level 1.3 states/eV/f.u.. Number 6: density of states at the Fermi level 8.8 states/eV/f.u..